[1]
{
  "formula": "Pr2Pu",
  "functional": "PBE",
  "state": "relaxed",
  "e_form_mev_per_atom": 139,
  "final_energy_ev_per_atom": -7.825,
  "spacegroup": "I4/mmm (139)",
  "volume_a3_per_atom": 33.315,
  "lattice": [[3.602, 0.000, 0.000], [0.000, 3.602, 0.000], [-1.801, -1.801, 7.703]],
  "species": ["Pu", "Pr", "Pr"],
  "frac_coords": [[0.000, 0.000, 0.000], [0.338, 0.338, 0.675], [0.662, 0.662, 0.325]]
}


[2]
{
  "formula": "PrPu",
  "functional": "PBE",
  "state": "relaxed",
  "e_form_mev_per_atom": 241,
  "final_energy_ev_per_atom": -9.315,
  "spacegroup": "P2_1/m (11)",
  "volume_a3_per_atom": 26.964,
  "lattice": [[-1.153, 2.154, 2.181], [-3.217, -1.552, -0.168], [2.242, -5.420, 7.111]],
  "species": ["Pr", "Pr", "Pu", "Pu"],
  "frac_coords": [[0.246, 0.750, 0.661], [0.754, 0.250, 0.339], [0.355, 0.750, 0.063], [0.645, 0.250, 0.937]]
}


[3]
{
  "formula": "PrPu5",
  "functional": "PBE",
  "state": "relaxed",
  "e_form_mev_per_atom": 305,
  "final_energy_ev_per_atom": -12.434,
  "spacegroup": "Cmmm (65)",
  "volume_a3_per_atom": 25.553,
  "lattice": [[5.325, 0.000, 0.000], [0.000, 5.548, 0.000], [0.000, -2.774, 5.189]],
  "species": ["Pu", "Pu", "Pu", "Pu", "Pu", "Pr"],
  "frac_coords": [[0.500, 0.199, 0.399], [0.000, 0.337, 0.674], [0.500, 0.801, 0.601], [0.500, 0.500, 0.000], [0.000, 0.663, 0.326], [0.000, 0.000, 0.000]]
}


[4]
{
  "formula": "Pr3Pu",
  "functional": "PBE",
  "state": "relaxed",
  "e_form_mev_per_atom": 157,
  "final_energy_ev_per_atom": -7.011,
  "spacegroup": "Pmm2 (25)",
  "volume_a3_per_atom": 34.270,
  "lattice": [[-0.493, -3.261, 1.539], [5.287, -1.758, -2.033], [2.746, 2.098, 5.328]],
  "species": ["Pu", "Pr", "Pr", "Pr"],
  "frac_coords": [[0.000, 0.500, 0.330], [0.500, 0.000, 0.498], [0.500, 0.500, 0.833], [0.000, 0.000, 0.006]]
}


[5]
{
  "formula": "PrPu4",
  "functional": "PBE",
  "state": "relaxed",
  "e_form_mev_per_atom": 1076,
  "final_energy_ev_per_atom": -11.345,
  "spacegroup": "Pm-3m (221)",
  "volume_a3_per_atom": 34.695,
  "lattice": [[5.577, 0.000, 0.000], [0.000, 5.577, 0.000], [0.000, 0.000, 5.577]],
  "species": ["Pu", "Pu", "Pu", "Pu", "Pr"],
  "frac_coords": [[0.000, 0.500, 0.500], [0.500, 0.000, 0.500], [0.000, 0.000, 0.000], [0.500, 0.500, 0.000], [0.500, 0.500, 0.500]]
}


[6]
{
  "formula": "Pr3Pu",
  "functional": "PBE",
  "state": "relaxed",
  "e_form_mev_per_atom": 143,
  "final_energy_ev_per_atom": -7.024,
  "spacegroup": "I4/mmm (139)",
  "volume_a3_per_atom": 33.803,
  "lattice": [[-0.489, 1.013, 4.987], [-0.055, -5.011, 1.012], [5.421, 2.042, -2.504]],
  "species": ["Pr", "Pr", "Pr", "Pu"],
  "frac_coords": [[0.250, 0.750, 0.500], [0.750, 0.250, 0.500], [0.500, 0.500, 0.000], [0.000, 0.000, 0.000]]
}


[7]
{
  "formula": "PrPu2",
  "functional": "PBE",
  "state": "relaxed",
  "e_form_mev_per_atom": 251,
  "final_energy_ev_per_atom": -10.896,
  "spacegroup": "Fd-3m (227)",
  "volume_a3_per_atom": 28.857,
  "lattice": [[6.256, 0.000, 0.000], [3.128, 5.418, 0.000], [3.128, 1.806, 5.108]],
  "species": ["Pu", "Pu", "Pu", "Pu", "Pr", "Pr"],
  "frac_coords": [[0.625, 0.125, 0.625], [0.625, 0.625, 0.125], [0.125, 0.625, 0.625], [0.625, 0.625, 0.625], [0.250, 0.250, 0.250], [0.000, 0.000, 0.000]]
}


[8]
{
  "formula": "PrPu6",
  "functional": "PBE",
  "state": "relaxed",
  "e_form_mev_per_atom": 124,
  "final_energy_ev_per_atom": -12.844,
  "spacegroup": "Im-3m (229)",
  "volume_a3_per_atom": 21.543,
  "lattice": [[5.808, 0.000, 0.000], [-1.936, 5.476, 0.000], [-1.936, -2.738, 4.742]],
  "species": ["Pu", "Pu", "Pu", "Pu", "Pu", "Pu", "Pr"],
  "frac_coords": [[0.750, 0.250, 0.500], [0.500, 0.250, 0.750], [0.250, 0.750, 0.500], [0.250, 0.500, 0.750], [0.500, 0.750, 0.250], [0.750, 0.500, 0.250], [0.000, 0.000, 0.000]]
}


Repeat the second record exactly.
{
  "formula": "PrPu",
  "functional": "PBE",
  "state": "relaxed",
  "e_form_mev_per_atom": 241,
  "final_energy_ev_per_atom": -9.315,
  "spacegroup": "P2_1/m (11)",
  "volume_a3_per_atom": 26.964,
  "lattice": [[-1.153, 2.154, 2.181], [-3.217, -1.552, -0.168], [2.242, -5.420, 7.111]],
  "species": ["Pr", "Pr", "Pu", "Pu"],
  "frac_coords": [[0.246, 0.750, 0.661], [0.754, 0.250, 0.339], [0.355, 0.750, 0.063], [0.645, 0.250, 0.937]]
}


> Number 5 is which compound?

PrPu4